# 1
VASP calculation (GGA-PBE) on a geometry-optimized Sm12Sb6C structure.

Summary:
The calculation puts the formation energy (no corrections) at -669 meV/atom. For the total magnetization, the calculation gives 0.00 μB/cell. The space group is R-3. Its total DFT energy (no corrections) is -5.437 eV/atom. As for the density: 6.981 g/cm3.

POSCAR file:
```
Sm12Sb6C
1.0
-7.491 4.169 -0.446
-2.780 -7.440 3.257
3.103 3.548 7.175
Sm Sb C
12 6 1
Cartesian
-6.257 0.668 4.738 Sm
-3.817 -2.089 6.566 Sm
-3.062 1.929 6.996 Sm
-0.911 -0.391 5.248 Sm
-3.351 2.366 3.420 Sm
-4.105 -1.652 2.989 Sm
-2.303 -6.080 5.363 Sm
0.925 -1.863 9.006 Sm
-7.837 -4.039 2.777 Sm
-4.864 6.357 4.622 Sm
-8.093 2.140 0.980 Sm
0.669 4.316 7.208 Sm
-6.591 -2.375 5.110 Sb
-5.291 0.877 1.541 Sb
-1.750 -3.235 4.197 Sb
-0.577 2.652 4.876 Sb
-1.877 -0.600 8.445 Sb
-5.417 3.512 5.789 Sb
0.000 0.000 0.000 C
```

# 2
VASP calculation (GGA-PBE) on a geometry-optimized InGa3Hg structure.

Summary:
As for the offset from the most stable computed form: 265 meV/atom. For the total magnetization, the calculation gives 0.00 μB/cell. The space group is Pm-3m. The calculation puts the formation enthalpy at 0 K at 0.422 eV per atom. Its total DFT energy (no corrections) is -2.002 eV/atom. As for the density: 6.058 g/cm3.

POSCAR file:
```
InGa3Hg
1.0
-5.056 0.846 1.079
-1.362 -2.626 -4.324
-0.157 -4.454 2.754
Hg Ga In
1 3 1
Cartesian
0.000 0.000 0.000 Hg
-0.681 -1.313 -2.162 Ga
-0.079 -2.227 1.377 Ga
-2.528 0.423 0.539 Ga
-3.288 -3.117 -0.245 In
```

# 3
VASP calculation (GGA-PBE) on a geometry-optimized Pm2Er2Te2Se3 structure.

Summary:
The calculation puts the formation energy (no corrections) at -1402 meV/atom. For the total magnetization, the calculation gives 0.00 μB/cell. The space group is I4/mmm. Its total DFT energy (no corrections) is -5.331 eV/atom. As for the density: 7.461 g/cm3.

POSCAR file:
```
Pm2Er2Te2Se3
1.0
-5.261 -1.849 -0.052
1.439 -4.187 3.390
0.244 7.583 4.675
Pm Er Te Se
2 2 2 3
Cartesian
-0.645 1.766 2.455 Pm
-2.933 -0.220 5.559 Pm
-2.630 -0.925 -0.026 Er
0.719 -2.094 1.695 Er
-2.262 -2.057 3.005 Te
-1.316 3.603 5.008 Te
0.000 0.000 0.000 Se
-0.114 0.189 4.867 Se
-3.464 1.358 3.146 Se
```

# 4
VASP calculation (GGA-PBE) on a geometry-optimized La2YHgH structure.

Summary:
As for the offset from the most stable computed form: 56 meV/atom. For the total magnetization, the calculation gives 0.00 μB/cell. The space group is P4/mmm. Its total DFT energy (no corrections) is -4.224 eV/atom. As for the density: 7.626 g/cm3.

POSCAR file:
```
La2YHgH
1.0
-2.107 3.804 2.221
-3.780 -0.297 -3.076
-2.404 -3.239 3.267
Y H Hg La
1 1 1 2
Cartesian
-4.145 0.134 1.206 Y
0.000 0.000 0.000 H
-1.202 -1.620 1.633 Hg
-1.890 -0.149 -1.538 La
-1.054 1.902 1.111 La
```

# 5
VASP calculation (GGA-PBE) on a geometry-optimized Y2TlNi structure.

Summary:
For the total magnetization, the calculation gives 0.00 μB/cell. The space group is Pm. The calculation puts the formation enthalpy at 0 K at -0.285 eV per atom. Its total DFT energy (no corrections) is -5.554 eV/atom. As for the density: 7.480 g/cm3.

POSCAR file:
```
Y2TlNi
1.0
4.468 0.000 0.000
0.000 3.855 0.033
0.000 1.885 5.698
Ni Tl Y
1 1 2
Cartesian
0.000 3.592 2.606 Ni
2.234 3.582 4.409 Tl
0.000 5.502 5.373 Y
2.234 1.675 1.941 Y
```

# 6
VASP calculation (GGA-PBE) on a geometry-optimized Cs3Tb2ErSe6 structure.

Summary:
The calculation puts the formation energy (no corrections) at -1727 meV/atom. For the total magnetization, the calculation gives 0.00 μB/cell. The space group is C2/m. Its total DFT energy (no corrections) is -4.834 eV/atom. As for the density: 5.689 g/cm3.

POSCAR file:
```
Cs3Tb2ErSe6
1.0
-5.106 -0.799 5.285
-0.055 -4.457 -5.897
6.723 -3.628 4.224
Cs Tb Er Se
3 2 1 6
Cartesian
2.461 -5.658 -1.912 Cs
-0.899 -3.226 5.524 Cs
0.781 -4.442 1.806 Cs
-1.739 -3.238 -2.169 Tb
-3.422 -2.019 1.557 Tb
0.000 0.000 0.000 Er
0.653 -6.415 4.814 Se
-2.527 -4.519 0.337 Se
0.909 -2.469 -1.203 Se
2.322 -7.623 1.121 Se
4.089 -4.365 3.275 Se
-0.759 -1.261 2.491 Se
```

# 7
VASP calculation (GGA-PBE) on a geometry-optimized PmScAs2 structure.

Summary:
As for the offset from the most stable computed form: 0 meV/atom. For the total magnetization, the calculation gives 0.00 μB/cell. The space group is R-3m. The calculation puts the formation enthalpy at 0 K at -1.425 eV per atom. Its total DFT energy (no corrections) is -6.520 eV/atom. As for the density: 5.948 g/cm3.

POSCAR file:
```
PmScAs2
1.0
-0.775 3.259 2.318
-0.634 -3.746 1.471
6.922 -1.080 0.247
Pm Sc As
1 1 2
Cartesian
2.369 0.846 3.178 Pm
6.287 -4.826 1.718 Sc
4.784 -0.120 1.763 As
0.729 -1.447 2.273 As
```

# 8
VASP calculation (GGA-PBE) on a geometry-optimized Ac2PrNd structure.

Summary:
As for the offset from the most stable computed form: 0 meV/atom. For the total magnetization, the calculation gives 0.00 μB/cell. The space group is P4/mmm. The calculation puts the formation enthalpy at 0 K at 0.020 eV per atom. Its total DFT energy (no corrections) is -4.421 eV/atom. As for the density: 7.689 g/cm3.

POSCAR file:
```
Ac2PrNd
1.0
5.329 0.000 0.000
0.000 5.473 0.000
0.000 0.000 5.473
Pr Ac Nd
1 2 1
Cartesian
2.665 2.736 2.736 Pr
0.000 0.000 2.736 Ac
0.000 2.736 0.000 Ac
2.665 0.000 0.000 Nd
```

# 9
VASP calculation (GGA-PBE) on a geometry-optimized TbMg9Pd3 structure.

Summary:
For the total magnetization, the calculation gives 0.00 μB/cell. The space group is C2/m. The calculation puts the formation enthalpy at 0 K at -0.383 eV per atom. Its total DFT energy (no corrections) is -3.042 eV/atom. As for the density: 4.391 g/cm3.

POSCAR file:
```
TbMg9Pd3
1.0
5.208 -0.052 2.114
2.449 6.669 0.994
-0.030 -0.026 7.547
Tb Mg Pd
1 9 3
Cartesian
0.000 0.000 0.000 Tb
5.570 5.194 8.133 Mg
2.057 1.397 2.523 Mg
3.203 1.372 7.172 Mg
4.424 5.220 3.484 Mg
4.250 2.131 4.397 Mg
3.378 4.461 6.259 Mg
6.754 4.435 5.413 Mg
0.873 2.156 5.242 Mg
1.225 3.335 0.497 Mg
3.829 3.309 1.554 Pd
-0.015 -0.013 3.774 Pd
2.589 -0.039 4.831 Pd
```

# 10
VASP calculation (GGA-PBE) on a geometry-optimized Nb2Ni2Au structure.

Summary:
As for the offset from the most stable computed form: 254 meV/atom. For the total magnetization, the calculation gives 0.00 μB/cell. The space group is P4/mbm. The calculation puts the formation enthalpy at 0 K at 0.082 eV per atom. Its total DFT energy (no corrections) is -6.914 eV/atom. As for the density: 10.473 g/cm3.

POSCAR file:
```
Nb2Ni2Au
1.0
-3.120 5.851 3.830
2.496 -2.987 6.595
2.308 1.390 -0.244
Ni Nb Au
4 4 2
Cartesian
2.300 -0.334 4.866 Ni
1.179 2.067 7.940 Ni
-0.617 4.588 5.315 Ni
0.505 2.187 2.242 Ni
1.018 -0.441 7.128 Nb
-1.128 3.187 7.494 Nb
-1.643 3.305 3.297 Nb
0.504 -0.322 2.931 Nb
0.000 0.000 0.000 Au
-0.312 1.432 5.213 Au
```

# 11
VASP calculation (GGA-PBE) on a geometry-optimized CeSmScS3 structure.

Summary:
The calculation puts the formation energy (no corrections) at -1752 meV/atom. For the total magnetization, the calculation gives 1.63 μB/cell. The space group is P2_1/m. Its total DFT energy (no corrections) is -6.646 eV/atom. As for the density: 4.921 g/cm3.

POSCAR file:
```
CeSmScS3
1.0
-1.621 3.392 -0.710
-7.133 -3.834 -2.027
-1.531 1.159 9.028
Ce Sm Sc S
2 2 2 6
Cartesian
-1.782 0.482 1.216 Ce
-8.503 0.236 5.074 Ce
-5.171 -1.446 -0.257 Sm
-5.114 2.164 6.547 Sm
-2.182 1.074 4.956 Sc
-8.103 -0.356 1.334 Sc
-7.751 -0.715 -1.177 S
-2.534 1.432 7.467 S
-7.029 -1.604 3.233 S
-3.256 2.321 3.057 S
-4.367 1.184 0.164 S
-5.919 -0.467 6.126 S
```

# 12
VASP calculation (GGA-PBE) on a geometry-optimized Sr2ZnNi4Sb3 structure.

Summary:
The calculation puts the formation energy (no corrections) at -507 meV/atom. For the total magnetization, the calculation gives 0.00 μB/cell. The space group is P-4m2. Its total DFT energy (no corrections) is -4.520 eV/atom. As for the density: 6.926 g/cm3.

POSCAR file:
```
Sr2ZnNi4Sb3
1.0
4.448 0.000 0.000
0.000 4.448 0.000
0.000 0.000 10.188
Sr Zn Ni Sb
2 1 4 3
Cartesian
2.224 0.000 2.517 Sr
0.000 2.224 7.671 Sr
2.224 2.224 5.094 Zn
2.224 2.224 0.000 Ni
0.000 0.000 0.000 Ni
2.224 0.000 6.309 Ni
0.000 2.224 3.879 Ni
0.000 0.000 5.094 Sb
2.224 0.000 8.877 Sb
0.000 2.224 1.311 Sb
```

# 13
VASP calculation (GGA-PBE) on a geometry-optimized AlSi3Ni2 structure.

Summary:
The calculation puts the formation energy (no corrections) at -39 meV/atom. For the total magnetization, the calculation gives 0.00 μB/cell. The space group is Cmmm. Its total DFT energy (no corrections) is -5.301 eV/atom. As for the density: 5.036 g/cm3.

POSCAR file:
```
AlSi3Ni2
1.0
1.873 -5.676 0.000
1.873 5.676 0.000
0.000 0.000 3.545
Al Si Ni
1 3 2
Cartesian
0.000 0.000 0.000 Al
1.873 1.962 0.000 Si
1.873 -1.962 0.000 Si
1.873 0.000 1.773 Si
1.873 3.757 1.773 Ni
1.873 -3.757 1.773 Ni
```

# 14
VASP calculation (GGA-PBE) on a geometry-optimized ScAg2Au structure.

Summary:
As for the offset from the most stable computed form: 6 meV/atom. For the total magnetization, the calculation gives 0.00 μB/cell. The space group is Fmmm. The calculation puts the formation enthalpy at 0 K at -0.362 eV per atom. Its total DFT energy (no corrections) is -4.189 eV/atom. As for the density: 10.313 g/cm3.

POSCAR file:
```
ScAg2Au
1.0
5.187 -0.010 -0.016
1.895 4.828 0.012
-3.534 -2.421 2.942
Sc Au Ag
1 1 2
Cartesian
0.951 2.408 1.476 Sc
2.597 -0.011 1.462 Au
1.895 4.828 0.012 Ag
3.541 2.409 -0.002 Ag
```

# 15
VASP calculation (GGA-PBE) on a geometry-optimized TeSeBr2 structure.

Summary:
The calculation puts the formation energy (no corrections) at -88 meV/atom. As for the offset from the most stable computed form: 79 meV/atom. For the total magnetization, the calculation gives 0.00 μB/cell. The space group is R3m. Its total DFT energy (no corrections) is -2.581 eV/atom. As for the density: 4.842 g/cm3.

POSCAR file:
```
TeSeBr2
1.0
9.123 0.055 0.033
8.198 4.004 0.033
8.198 1.921 3.514
Br Se Te
2 1 1
Cartesian
0.541 0.127 0.076 Br
5.772 1.353 0.810 Br
12.500 2.929 1.753 Se
19.466 4.562 2.730 Te
```

# 16
VASP calculation (GGA-PBE) on a geometry-optimized Hf3Mn2Ga4 structure.

Summary:
For the total magnetization, the calculation gives 4.53 μB/cell. The space group is C2/m. The calculation puts the formation enthalpy at 0 K at -0.339 eV per atom. Its total DFT energy (no corrections) is -7.040 eV/atom. As for the density: 10.145 g/cm3.

POSCAR file:
```
Hf3Mn2Ga4
1.0
-2.222 2.914 2.353
-1.394 -0.120 -5.198
-2.852 -5.969 4.700
Hf Mn Ga
3 2 4
Cartesian
-3.833 -2.133 3.053 Hf
0.000 0.000 0.000 Hf
-2.635 -1.041 -1.199 Hf
-2.513 0.074 1.566 Mn
-3.955 -3.248 0.289 Mn
-2.209 1.751 -0.225 Ga
-4.259 -4.926 2.080 Ga
-4.907 -0.965 0.592 Ga
-1.561 -2.210 1.262 Ga
```

# 17
VASP calculation (GGA-PBE) on a geometry-optimized BeTcSe2 structure.

Summary:
The calculation puts the formation energy (no corrections) at -104 meV/atom. For the total magnetization, the calculation gives 0.00 μB/cell. The space group is Cm. Its total DFT energy (no corrections) is -5.370 eV/atom. As for the density: 5.246 g/cm3.

POSCAR file:
```
BeTcSe2
1.0
-1.997 -3.345 -2.084
0.576 -2.248 -3.759
3.650 -4.241 2.827
Be Tc Se
1 1 2
Cartesian
0.930 -2.653 -0.310 Be
0.904 -4.617 -1.635 Tc
0.463 -0.655 0.281 Se
1.047 -6.824 -2.861 Se
```

# 18
VASP calculation (GGA-PBE) on a geometry-optimized Cs2In12Hg7 structure.

Summary:
For the total magnetization, the calculation gives 0.00 μB/cell. The space group is P-3. The calculation puts the formation enthalpy at 0 K at -0.062 eV per atom. Its total DFT energy (no corrections) is -1.808 eV/atom. As for the density: 8.020 g/cm3.

POSCAR file:
```
Cs2In12Hg7
1.0
-3.383 -0.668 -3.593
-1.800 -11.340 3.804
-6.628 9.032 4.560
Cs In Hg
2 12 7
Cartesian
-5.847 2.078 3.428 Cs
-5.963 -5.054 1.343 Cs
-2.361 -6.820 1.813 In
-4.009 -1.683 2.409 In
-6.325 -5.632 5.325 In
-9.450 3.844 2.957 In
-7.802 -1.293 2.361 In
-5.485 2.656 -0.554 In
-2.661 0.763 0.826 In
-6.808 6.279 3.705 In
-7.847 -0.764 5.992 In
-9.150 -3.739 3.944 In
-5.003 -9.255 1.066 In
-3.964 -2.212 -1.222 In
-1.691 -0.334 -1.797 Hg
-4.520 -7.561 3.811 Hg
-2.361 -3.863 1.090 Hg
-6.068 -2.762 4.375 Hg
-7.290 4.585 0.959 Hg
-9.450 0.887 3.680 Hg
-5.743 -0.215 0.395 Hg
```

# 19
VASP calculation (GGA-PBE) on a geometry-optimized Ti4NbFe5 structure.

Summary:
For the total magnetization, the calculation gives 1.04 μB/cell. The space group is P4/mmm. The calculation puts the formation enthalpy at 0 K at -0.327 eV per atom. Its total DFT energy (no corrections) is -8.724 eV/atom. As for the density: 7.093 g/cm3.

POSCAR file:
```
Ti4NbFe5
1.0
2.967 0.000 0.000
0.000 2.967 0.000
0.000 0.000 14.993
Ti Nb Fe
4 1 5
Cartesian
0.000 0.000 3.062 Ti
0.000 0.000 6.018 Ti
0.000 0.000 8.975 Ti
0.000 0.000 11.931 Ti
0.000 0.000 0.000 Nb
1.483 1.483 1.612 Fe
1.483 1.483 4.554 Fe
1.483 1.483 7.496 Fe
1.483 1.483 10.439 Fe
1.483 1.483 13.381 Fe
```

# 20
VASP calculation (GGA-PBE) on a geometry-optimized AcLaCdRu structure.

Summary:
For the total magnetization, the calculation gives 0.00 μB/cell. The space group is F-43m. The calculation puts the formation enthalpy at 0 K at -0.102 eV per atom. Its total DFT energy (no corrections) is -4.908 eV/atom. As for the density: 8.756 g/cm3.

POSCAR file:
```
AcLaCdRu
1.0
-0.209 5.371 0.117
-4.445 2.553 -1.622
-3.131 2.490 3.591
Ru Ac Cd La
1 1 1 1
Cartesian
-5.839 7.811 1.565 Ru
0.000 0.000 0.000 Ac
-1.946 2.604 0.522 Cd
-3.893 5.207 1.043 La
```